[1]
Compound: CaLaGaPd
Source: Alexandria
Functional: PBE
Structure: relaxed

total moment	0.000	μB per atom
energy above the most stable polymorph in this dataset	0	meV/atom
D(E_F)	3.9	states/eV/f.u.
energy of formation	-0.631	eV per atom

a b c (Å): 4.0626 4.4246 6.1367
angles (deg): 90.00 109.33 90.00
Fractional coordinates of all 4 atoms:
Ca 0.1411 0.0000 0.2821
La 0.8568 0.5000 0.7135
Ga 0.5707 0.5000 0.1413
Pd 0.4315 0.0000 0.8630

[2]
Compound: CaLaGaPt
Source: Alexandria
Functional: PBE
Structure: relaxed

total moment	0.000	μB per atom
energy above the most stable polymorph in this dataset	79	meV/atom
D(E_F)	3.6	states/eV/f.u.
energy of formation	-0.730	eV per atom

a b c (Å): 5.1656 5.1656 5.1656
angles (deg): 60.00 60.00 60.00
Fractional coordinates of all 4 atoms:
Ca 0.5000 0.5000 0.5000
Ga 0.2500 0.2500 0.2500
Pt 0.7500 0.7500 0.7500
La 0.0000 0.0000 0.0000

> Which formula does entry 2 have?

CaLaGaPt

Copy entry 1 word for word.
Compound: CaLaGaPd
Source: Alexandria
Functional: PBE
Structure: relaxed

total moment	0.000	μB per atom
energy above the most stable polymorph in this dataset	0	meV/atom
D(E_F)	3.9	states/eV/f.u.
energy of formation	-0.631	eV per atom

a b c (Å): 4.0626 4.4246 6.1367
angles (deg): 90.00 109.33 90.00
Fractional coordinates of all 4 atoms:
Ca 0.1411 0.0000 0.2821
La 0.8568 0.5000 0.7135
Ga 0.5707 0.5000 0.1413
Pd 0.4315 0.0000 0.8630